Entry from Alexandria via LeMat-Bulk: a crystal of Cd4Au relaxed with PBEsol (meta-GGA SCAN).

Cell lengths 3.1139, 3.1139, 20.3642 Å; angles 90.00, 90.00, 90.00 degrees
Last column: nearest neighbours and their distance in Å.
Space group I4/mmm (No. 139)
Inequivalent atoms, fractional coordinates:
Cd: 0.0000 0.0000 0.0925 x4  4 Au 2.90, 8 Cd 3.07-3.11
Cd: 0.0000 0.0000 0.3026 x4  12 Cd 3.07-3.11
Au: 0.0000 0.0000 0.5000 x2  8 Cd 2.90, 4 Au 3.11

E_form ... -0.063 eV/atom
VASP energy ... -382.258 eV for the cell shown



Entry from Alexandria via LeMat-Bulk: a crystal of Cd3Au5 relaxed with PBEsol (meta-GGA SCAN).

Cell lengths 8.0639, 8.0639, 5.2947 Å; angles 90.00, 90.00, 120.00 degrees
Last column: nearest neighbours and their distance in Å.
Space group P6_3/mcm (No. 193)
Inequivalent atoms, fractional coordinates:
Cd: 0.0000 0.3981 0.2500 x6  8 Au 2.78-3.06
Au: 0.0000 0.2070 0.7500 x6  4 Cd 2.78-3.06, 2 Au 2.89
Au: 0.3333 0.6667 0.0000 x4  2 Au 2.65, 6 Cd 2.80

E_form ... -0.099 eV/atom
VASP energy ... -875.635 eV for the cell shown
Relative energy among the computed polymorphs ... 94.1 meV/atom



Entry from Alexandria via LeMat-Bulk: a crystal of CeCdAu2 relaxed with PBEsol (meta-GGA SCAN).

Cell lengths 6.9551, 6.9551, 6.9551 Å; angles 90.00, 90.00, 90.00 degrees
Last column: nearest neighbours and their distance in Å.
Space group Fm-3m (No. 225)
Inequivalent atoms, fractional coordinates:
Ce: 0.0000 0.0000 0.0000 x4  8 Au 3.01
Cd: 0.0000 0.0000 0.5000 x4  8 Au 3.01
Au: 0.2500 0.2500 0.2500 x8  4 Cd 3.01, 4 Ce 3.01

E_form ... -0.713 eV/atom
VASP energy ... -864.569 eV for the cell shown



Entry from Alexandria via LeMat-Bulk: a crystal of Cd2AuCl relaxed with PBEsol (meta-GGA SCAN).

Cell lengths 3.4847, 3.4847, 23.9097 Å; angles 90.00, 90.00, 120.00 degrees
Last column: nearest neighbours and their distance in Å.
Space group R-3m (No. 166, hexagonal axes)
Inequivalent atoms, fractional coordinates:
Cd: 0.0000 0.0000 0.2468 x6  3 Au 2.78, 3 Cl 2.89
Au: 0.0000 0.0000 0.5000 x3  6 Cd 2.78
Cl: 0.0000 0.0000 0.0000 x3  6 Cd 2.89

Uncorrected formation energy ... -1.70 eV per formula unit
VASP energy ... -418.991 eV for the cell shown
Relative energy among the computed polymorphs ... 0.0 meV/atom



Entry from Alexandria via LeMat-Bulk: a crystal of CdAu3Cl relaxed with PBEsol (meta-GGA SCAN).

Cell lengths 5.0789, 5.0789, 5.0789 Å; angles 90.00, 90.00, 90.00 degrees
Last column: nearest neighbours and their distance in Å.
Space group Pm-3m (No. 221)
Inequivalent atoms, fractional coordinates:
Cd: 0.0000 0.0000 0.0000 x1  6 Au 2.54
Au: 0.0000 0.0000 0.5000 x3  2 Cd 2.54
Cl: 0.5000 0.5000 0.5000 x1  12 Au 3.59

Uncorrected formation energy ... 3.80 eV per formula unit
VASP energy ... -242.066 eV for the cell shown



Entry from Alexandria via LeMat-Bulk: a crystal of Cd2AuCl relaxed with PBEsol (meta-GGA SCAN).

Cell lengths 3.2462, 3.2462, 7.5920 Å; angles 90.00, 90.00, 90.00 degrees
Last column: nearest neighbours and their distance in Å.
Space group P4/mmm (No. 123)
Inequivalent atoms, fractional coordinates:
Cd: 0.0000 0.0000 0.2263 x2  4 Au 2.87, 4 Cl 3.10
Au: 0.5000 0.5000 0.0000 x1  8 Cd 2.87
Cl: 0.5000 0.5000 0.5000 x1  8 Cd 3.10, 4 Cl 3.25

Uncorrected formation energy ... -1.45 eV per formula unit
VASP energy ... -139.418 eV for the cell shown
Relative energy among the computed polymorphs ... 61.3 meV/atom



Entry from Alexandria via LeMat-Bulk: a crystal of CdAuCl relaxed with PBEsol (meta-GGA SCAN).

Cell lengths 6.4807, 6.4807, 6.4807 Å; angles 90.00, 90.00, 90.00 degrees
Last column: nearest neighbours and their distance in Å.
Space group F-43m (No. 216)
Inequivalent atoms, fractional coordinates:
Cd: 0.0000 0.0000 0.0000 x4  4 Cl 2.81
Au: 0.0000 0.0000 0.5000 x4  4 Cl 2.81
Cl: 0.2500 0.2500 0.2500 x4  4 Cd 2.81, 4 Au 2.81

Uncorrected formation energy ... 0.80 eV per formula unit
VASP energy ... -427.015 eV for the cell shown



Entry from Alexandria via LeMat-Bulk: a crystal of Cd2CoAu relaxed with PBEsol (meta-GGA SCAN).

Cell lengths 3.0452, 3.4370, 6.2413 Å; angles 90.00, 90.00, 90.00 degrees
Last column: nearest neighbours and their distance in Å.
Space group Pmmm (No. 47)
Inequivalent atoms, fractional coordinates:
Cd: 0.0000 0.0000 0.2293 x2  4 Co 2.71, 4 Au 2.85, 1 Cd 2.86
Co: 0.5000 0.5000 0.0000 x1  8 Cd 2.71
Au: 0.5000 0.5000 0.5000 x1  8 Cd 2.85, 2 Au 3.05, 2 Co 3.12

E_form ... 0.056 eV/atom
VASP energy ... -147.067 eV for the cell shown



| no. | spin magnetization (μB/f.u.) |
| --- | --- |
| 1 | 0.00 |
| 2 | 0.00 |
| 3 | 1.07 |
| 4 | 0.00 |
| 5 | 0.00 |
| 6 | 0.00 |
| 7 | 0.00 |
| 8 | 1.65 |